Run a
## Ta5Fe4 (GGA-PBE)

Data for a geometry-optimized Ta5Fe4 structure.

The structure in POSCAR format:
```
Ta5Fe4
1.0
6.2342 -1.2136 -2.2571
-4.5414 0.6484 4.9384
-2.2527 -6.0934 -1.7966
Ta Fe
5 4
Cartesian
-0.9310 -4.2213 -0.3019
0.0000 0.0000 0.0000
-0.9743 0.0321 2.5564
0.3712 -2.4372 1.1865
2.6671 -0.5972 0.1248
1.3793 -2.5313 -1.4043
-2.3536 -1.8862 1.0884
2.6022 -4.7757 -2.6494
-4.4404 -3.5587 2.0534
```

**Density**: 13.6 g/cm³


Run b
## Ta5Fe4 (GGA-PBE)

Data for a geometry-optimized Ta5Fe4 structure.

The structure in POSCAR format:
```
Ta5Fe4
1.0
-5.0350 2.7366 -5.2122
-2.5992 -4.6032 -5.6624
-3.9371 -1.4919 3.0200
Ta Fe
10 8
Cartesian
-4.2618 -2.9323 -4.7821
-7.3096 -0.4262 -3.0726
-2.5447 -0.6222 -3.6249
-7.0581 -1.9904 -5.7398
-4.3549 -0.3569 0.8136
-4.8283 -4.4403 -1.8206
-1.7081 -1.6548 -0.8217
-4.5133 -1.3681 -2.1149
-4.6173 1.6016 -3.0058
-5.0895 -1.2444 -7.2498
0.0000 0.0000 0.0000
-5.9498 0.5099 -0.8373
-4.0050 -2.9822 -0.0271
-1.9686 -0.7459 1.5100
-2.5313 -3.1128 -2.6153
-3.0224 0.7348 -1.3549
-6.5381 -2.7510 -3.2152
-5.0333 -0.6075 -4.6395
```

**Density**: 13.9 g/cm³


In kJ/mol of atoms, relative to the most stable structure: run a 7.9; run b 0.0.